# NiAg2Br5 | the Alexandria database | GGA-PBE | optimized geometry
data_NiAg2Br5
_chemical_formula_sum 'Ni4 Ag8 Br20'
_space_group_name_H-M_alt 'C m c m'
_space_group_IT_number 63
_space_group_name_Hall '-C 2c 2'
_cell_length_a 5.446
_cell_length_b 13.283
_cell_length_c 12.601
_cell_angle_alpha 90.00
_cell_angle_beta 90.00
_cell_angle_gamma 90.00
loop_
_atom_site_label
_atom_site_type_symbol
_atom_site_fract_x
_atom_site_fract_y
_atom_site_fract_z
Ni1 Ni 0.000 0.206 0.250
Ag1 Ag 0.000 0.138 0.588
Br1 Br 0.000 0.075 0.118
Br2 Br 0.000 0.281 0.750
Br3 Br 0.000 0.332 0.113
# E_form (uncorrected) = -269 meV/atom

---

# Ni2AgBr | the Alexandria database | GGA-PBE | optimized geometry
data_Ni2AgBr
_chemical_formula_sum 'Ni4 Ag2 Br2'
_space_group_name_H-M_alt 'C m m m'
_space_group_IT_number 65
_space_group_name_Hall '-C 2 2'
_cell_length_a 6.321
_cell_length_b 6.363
_cell_length_c 3.038
_cell_angle_alpha 90.00
_cell_angle_beta 90.00
_cell_angle_gamma 90.00
loop_
_atom_site_label
_atom_site_type_symbol
_atom_site_fract_x
_atom_site_fract_y
_atom_site_fract_z
Ni1 Ni 0.250 0.250 0.000
Ag1 Ag 0.000 0.000 0.500
Br1 Br 0.000 0.500 0.500
# E_form (uncorrected) = 552 meV/atom
# Energy above the lowest structure with this stoichiometry = 0.211 eV/atom